1.
Below is a relaxed structure of Tb3PmY, with properties calculated at the PBE level.

Cell: 6.330 5.712 9.658 Å, 90.00 109.11 90.00°
Space group P2_1/m (No. 11)
Symmetry-distinct sites (fractional):
Tb  0.132  0.250  0.099 [2 per cell]
Tb  0.266  0.750  0.700 [2 per cell]
Tb  0.336  0.250  0.499 [2 per cell]
Pm  0.066  0.750  0.300 [2 per cell]
Y  0.467  0.750  0.100 [2 per cell]

Calculated values
**Formation enthalpy at 0 K**: 0.015 eV/atom
**Energy above the lowest structure with this stoichiometry**: 0.0 meV per atom



2.
Below is a relaxed structure of TcAg2Br, with properties calculated at the PBE level.

Cell: 4.020 4.020 4.842 Å, 90.00 90.00 90.00°
Space group P4/mmm (No. 123)
Symmetry-distinct sites (fractional):
Tc  0.000  0.000  0.000 [1 per cell]
Ag  0.000  0.500  0.500 [2 per cell]
Br  0.500  0.500  0.000 [1 per cell]

Calculated values
**Energy above the lowest structure with this stoichiometry**: 418.0 meV per atom
**Formation energy without anion corrections**: 0.832 eV per atom



3.
Below is a relaxed structure of AlFe2HN, with properties calculated at the PBE level.

Cell: 4.529 4.529 3.061 Å, 90.00 90.00 90.00°
Space group P4/mmm (No. 123)
Symmetry-distinct sites (fractional):
Al  0.000  0.000  0.000 [1 per cell]
Fe  0.000  0.500  0.000 [2 per cell]
H  0.000  0.000  0.500 [1 per cell]
N  0.500  0.500  0.500 [1 per cell]



4.
Below is a relaxed structure of ScFeSnPd, with properties calculated at the PBE level.

Cell: 6.427 6.427 6.427 Å, 90.00 90.00 90.00°
Space group F-43m (No. 216)
Symmetry-distinct sites (fractional):
Sc  0.000  0.000  0.000 [4 per cell]
Fe  0.250  0.250  0.250 [4 per cell]
Sn  0.000  0.000  0.500 [4 per cell]
Pd  0.250  0.250  0.750 [4 per cell]

Calculated values
**Formation enthalpy at 0 K**: -0.451 eV/atom



5.
Below is a relaxed structure of K3Tm2MnSe6, with properties calculated at the PBE level.

Cell: 7.065 12.241 8.010 Å, 90.00 107.17 90.00°
Space group C2/m (No. 12)
Symmetry-distinct sites (fractional):
K  0.000  0.000  0.000 [2 per cell]
K  0.000  0.331  0.000 [4 per cell]
Tm  0.000  0.166  0.500 [4 per cell]
Mn  0.000  0.500  0.500 [2 per cell]
Se  0.224  0.342  0.696 [8 per cell]
Se  0.250  0.000  0.697 [4 per cell]

Calculated values
**Formation energy without anion corrections**: -1.372 eV per atom



6.
Below is a relaxed structure of Nd8Pt3CI4, with properties calculated at the PBE level.

Cell: 8.4277 8.4277 24.0025 Å, 90.00 90.00 120.00°
Space group R-3m (No. 166, hexagonal axes)
Symmetry-distinct sites (fractional):
Nd  0.0000  0.0000  0.2291 [6 per cell]
Nd  0.0227  0.5114  0.2262 [18 per cell]
Pt  0.0000  0.5000  0.5000 [9 per cell]
C  0.0000  0.0000  0.5000 [3 per cell]
I  0.0000  0.0000  0.0000 [3 per cell]
I  0.0000  0.5000  0.0000 [9 per cell]

Calculated values
**Formation energy without anion corrections**: -0.952 eV per atom



Table of D(E_F) (states/eV per atom), in record order: 1.7372, 0.8297, 0.9603, 1.1818, 0.5342, 0.7667
Table of total energy (eV for the cell shown), in record order: -50.06, -14.41, -24.21, -103.17, -117.54, -260.74